[1]
# SbPb2F PBE-GGA relaxed
data_SbPb2F
_symmetry_space_group_name_H-M 'P 1'
_symmetry_Int_Tables_number 1
_cell_length_a 5.256
_cell_length_b 5.256
_cell_length_c 5.256
_cell_angle_alpha 60.00
_cell_angle_beta 60.00
_cell_angle_gamma 60.00
loop_
_symmetry_equiv_pos_as_xyz
'x,y,z'
loop_
_atom_site_label
_atom_site_type_symbol
_atom_site_fract_x
_atom_site_fract_y
_atom_site_fract_z
_atom_site_occupancy
Pb1 Pb 0.250 0.250 0.250 1
Pb2 Pb 0.750 0.750 0.750 1
Sb1 Sb 0.500 0.500 0.500 1
F1 F 0.000 0.000 0.000 1
# distance to the lowest polymorph of the same formula: 7.82 kJ per mole of atoms
# electronic total energy: -16.18 eV for the cell shown
# total magnetic moment: 0.00 μB/f.u.
# ΔE_f (raw): -268 kJ/mol of formula units


[2]
# ScSbPb2F PBE-GGA relaxed
data_ScSbPb2F
_symmetry_space_group_name_H-M 'P 1'
_symmetry_Int_Tables_number 1
_cell_length_a 5.708
_cell_length_b 5.325
_cell_length_c 5.708
_cell_angle_alpha 90.00
_cell_angle_beta 90.00
_cell_angle_gamma 90.00
loop_
_symmetry_equiv_pos_as_xyz
'x,y,z'
loop_
_atom_site_label
_atom_site_type_symbol
_atom_site_fract_x
_atom_site_fract_y
_atom_site_fract_z
_atom_site_occupancy
Pb1 Pb 0.000 0.000 0.500 1
Pb2 Pb 0.500 0.000 0.000 1
Sb1 Sb 0.000 0.500 0.000 1
Sc1 Sc 0.000 0.000 0.000 1
F1 F 0.500 0.500 0.500 1
# electronic total energy: -20.10 eV for the cell shown
# total magnetic moment: 0.00 μB/f.u.
# ΔE_f (raw): -34 kJ/mol of formula units


[3]
# SbTe2PbF PBE-GGA relaxed
data_SbTe2PbF
_symmetry_space_group_name_H-M 'P 1'
_symmetry_Int_Tables_number 1
_cell_length_a 5.666
_cell_length_b 5.666
_cell_length_c 4.358
_cell_angle_alpha 90.00
_cell_angle_beta 90.00
_cell_angle_gamma 90.00
loop_
_symmetry_equiv_pos_as_xyz
'x,y,z'
loop_
_atom_site_label
_atom_site_type_symbol
_atom_site_fract_x
_atom_site_fract_y
_atom_site_fract_z
_atom_site_occupancy
Pb1 Pb 0.500 0.500 0.500 1
Sb1 Sb 0.000 0.000 0.500 1
Te1 Te 0.000 0.500 0.000 1
Te2 Te 0.500 0.000 0.000 1
F1 F 0.000 0.000 0.000 1
# distance to the lowest polymorph of the same formula: 0.00 kJ per mole of atoms
# electronic total energy: -17.20 eV for the cell shown
# total magnetic moment: 0.00 μB/f.u.
# ΔE_f (raw): -117 kJ/mol of formula units


[4]
# SbTe2PbF PBE-GGA relaxed
data_SbTe2PbF
_symmetry_space_group_name_H-M 'P 1'
_symmetry_Int_Tables_number 1
_cell_length_a 5.840
_cell_length_b 5.840
_cell_length_c 5.961
_cell_angle_alpha 90.00
_cell_angle_beta 90.00
_cell_angle_gamma 90.00
loop_
_symmetry_equiv_pos_as_xyz
'x,y,z'
loop_
_atom_site_label
_atom_site_type_symbol
_atom_site_fract_x
_atom_site_fract_y
_atom_site_fract_z
_atom_site_occupancy
Pb1 Pb 0.000 0.000 0.000 1
Sb1 Sb 0.000 0.000 0.500 1
Te1 Te 0.000 0.500 0.000 1
Te2 Te 0.500 0.000 0.000 1
F1 F 0.500 0.500 0.500 1
# distance to the lowest polymorph of the same formula: 78.48 kJ per mole of atoms
# electronic total energy: -13.13 eV for the cell shown
# total magnetic moment: 0.06 μB/f.u.
# ΔE_f (raw): 276 kJ/mol of formula units